Entry 1:
Entry from OQMD: a relaxed structure of Pr3NiI (GGA-PBE).

Total moment in μB per formula unit: 0.2
VASP energy in eV per atom: -3.687
Volume in Å³/cell: 194.1

a b c (Å): 5.790 5.790 5.790
angles (deg): 90.00 90.00 90.00
Space group Pm-3m (No. 221)
Inequivalent atoms, fractional coordinates:
Pr (0.000, 0.000, 0.500)
Ni (0.500, 0.500, 0.500)
I (0.000, 0.000, 0.000)

***

Entry 2:
Entry from OQMD: a relaxed structure of LuCdSn2 (GGA-PBE).

Total moment in μB per formula unit: 0.0
VASP energy in eV per atom: -3.472
Volume in Å³/cell: 416.5

a b c (Å): 7.468 7.468 7.468
angles (deg): 90.00 90.00 90.00
Space group F-43m (No. 216)
Inequivalent atoms, fractional coordinates:
Lu (0.000, 0.000, 0.000)
Cd (0.250, 0.250, 0.750)
Sn (0.000, 0.000, 0.500)
Sn (0.250, 0.250, 0.250)

***

Entry 3:
Entry from OQMD: a relaxed structure of InCu3OsS4 (GGA-PBE).

Total moment in μB per formula unit: 0.4
VASP energy in eV per atom: -4.572
Volume in Å³/cell: 185.1

a b c (Å): 5.699 5.699 5.699
angles (deg): 90.00 90.00 90.00
Space group P-43m (No. 215)
Inequivalent atoms, fractional coordinates:
In (0.000, 0.000, 0.000)
Cu (0.000, 0.500, 0.500)
Os (0.500, 0.500, 0.500)
S (0.269, 0.269, 0.269)

***

Entry 4:
Entry from OQMD: a relaxed structure of RbLiTe3W (GGA-PBE).

Total moment in μB per formula unit: 2.0
VASP energy in eV per atom: -4.528
Volume in Å³/cell: 727.2

a b c (Å): 4.194 16.418 10.561
angles (deg): 90.00 90.00 90.00
Space group Cmcm (No. 63)
Inequivalent atoms, fractional coordinates:
Rb (0.000, 0.243, 0.250)
Li (0.000, 0.473, 0.750)
Te (0.000, 0.070, 0.750)
Te (0.000, 0.388, 0.539)
W (0.000, 0.000, 0.000)